Material: Tl9Hg3Te4
Method: DFT, PBE-GGA
State: optimized geometry

Cell lengths 6.8130, 6.8130, 45.0377 Å; angles 90.00, 90.00, 120.00 degrees
Last column: nearest neighbours and their distance in Å.
Space group R3 (No. 146, hexagonal axes)
Unique sites:
Tl 0.0000 0.4935 0.0000 [9 per cell]  4 Hg 3.35-3.45, 4 Tl 3.41, 2 Te 3.43
Tl 0.0020 0.6986 0.1120 [9 per cell]  2 Te 3.08-3.27, 1 Hg 3.33
Tl 0.0320 0.6688 0.5547 [9 per cell]  2 Te 3.08-3.27, 1 Hg 3.33
Hg 0.0000 0.0000 0.0001 [3 per cell]  6 Tl 3.36-3.45
Hg 0.0000 0.0000 0.3934 [3 per cell]  6 Tl 3.33-3.35
Hg 0.0000 0.0000 0.6066 [3 per cell]  6 Tl 3.33-3.35
Te 0.0000 0.0000 0.1784 [3 per cell]  3 Tl 3.08
Te 0.0000 0.0000 0.2710 [3 per cell]  6 Tl 3.27-3.43
Te 0.0000 0.0000 0.7291 [3 per cell]  6 Tl 3.27-3.43
Te 0.0000 0.0000 0.8216 [3 per cell]  3 Tl 3.08

Volume   37.72 Å³/atom
E_form (uncorrected)   -0.11 eV per atom

---

Material: Tl2HgTe
Method: DFT, PBE-GGA
State: optimized geometry

Cell lengths 8.6742, 8.6742, 7.3279 Å; angles 90.00, 90.00, 90.00 degrees
Last column: nearest neighbours and their distance in Å.
Space group I-42d (No. 122)
Unique sites:
Tl 0.2445 0.7500 0.1250 [8 per cell]  2 Te 3.17, 2 Hg 3.23
Hg 0.0000 0.0000 0.5000 [4 per cell]  4 Tl 3.23
Te 0.0000 0.0000 0.0000 [4 per cell]  4 Tl 3.17

Volume   34.46 Å³/atom
E_form (uncorrected)   -0.14 eV per atom

---

Material: TlHgTe2
Method: DFT, PBE-GGA
State: optimized geometry

Cell lengths 3.2068, 6.1235, 6.3790 Å; angles 90.00, 90.00, 90.00 degrees
Last column: nearest neighbours and their distance in Å.
Space group Pmmm (No. 47)
Unique sites:
Tl 0.0000 0.0000 0.0000 [1 per cell]  2 Hg 3.19, 2 Tl 3.21
Hg 0.0000 0.0000 0.5000 [1 per cell]  2 Tl 3.19, 2 Hg 3.21
Te 0.5000 0.5000 0.2471 [2 per cell]  4 Te 3.15-3.23

Volume   31.32 Å³/atom
E_form (uncorrected)   -0.03 eV per atom

---

Material: TlHgTe2
Method: DFT, PBE-GGA
State: optimized geometry

Cell lengths 4.4418, 4.6208, 6.1794 Å; angles 90.00, 90.00, 90.00 degrees
Last column: nearest neighbours and their distance in Å.
Space group Pmmm (No. 47)
Unique sites:
Tl 0.0000 0.0000 0.0000 [1 per cell]  4 Hg 3.20
Hg 0.5000 0.5000 0.0000 [1 per cell]  4 Tl 3.20
Te 0.0000 0.5000 0.5000 [1 per cell]  4 Te 3.20
Te 0.5000 0.0000 0.5000 [1 per cell]  4 Te 3.20

Volume   31.71 Å³/atom
E_form (uncorrected)   -0.05 eV per atom

---

Material: Tl12Hg5Te3
Method: DFT, PBE-GGA
State: optimized geometry

Cell lengths 18.6021, 18.6021, 18.6021 Å; angles 90.00, 90.00, 90.00 degrees
Last column: nearest neighbours and their distance in Å.
Space group Ia-3d (No. 230)
Unique sites:
Tl 0.0117 0.0724 0.6530 [96 per cell]  2 Hg 3.09-3.16, 2 Te 3.35-3.40
Hg 0.0000 0.0000 0.0000 [16 per cell]  6 Tl 3.16
Hg 0.0000 0.2500 0.3750 [24 per cell]  4 Tl 3.09
Te 0.0000 0.2500 0.1250 [24 per cell]  8 Tl 3.35-3.40

Volume   40.23 Å³/atom
E_form (uncorrected)   0.00 eV per atom

---

Material: TlHg2Te
Method: DFT, PBE-GGA
State: optimized geometry

Cell lengths 4.8944, 4.8944, 18.8539 Å; angles 90.00, 90.00, 120.00 degrees
Last column: nearest neighbours and their distance in Å.
Space group R3m (No. 160, hexagonal axes)
Unique sites:
Tl 0.0000 0.0000 0.0000 [3 per cell]  6 Hg 3.23-3.36, 1 Te 3.42
Hg 0.0000 0.0000 0.5842 [3 per cell]  3 Te 3.11, 3 Tl 3.23, 1 Hg 3.38
Hg 0.0000 0.0000 0.7633 [3 per cell]  3 Te 3.25, 3 Tl 3.36, 1 Hg 3.38
Te 0.0000 0.0000 0.1815 [3 per cell]  6 Hg 3.11-3.25, 1 Tl 3.42

Volume   32.59 Å³/atom
E_form (uncorrected)   -0.05 eV per atom